(1)
K2InRh PBE optimized geometry; space group = No. 123; total moment = 0.00 μB per formula unit; DFT formation energy = 1.562 eV/f.u.
1.0
-0.8519 1.6770 -3.8771
-4.2121 -0.6676 0.6367
-0.4559 5.0588 2.2883
In K Rh
1 2 1
direct
0.0000 0.5000 0.5000
0.5000 0.5000 0.0000
0.0000 0.0000 0.0000
0.5000 0.0000 0.5000

---

(2)
Ba2NbNiAg PBE optimized geometry; space group = No. 123; total moment = 4.65 μB per formula unit; DFT formation energy = 4.932 eV/f.u.
1.0
6.2429 0.0000 0.0000
0.0000 4.7598 0.0000
0.0000 0.0000 6.2429
Ba Ni Nb Ag
2 1 1 1
direct
0.5000 0.0000 0.0000
0.0000 0.0000 0.5000
0.0000 0.5000 0.0000
0.5000 0.5000 0.5000
0.0000 0.0000 0.0000

---

(3)
BaNi2Ru PBE optimized geometry; space group = No. 44; total moment = 1.84 μB per formula unit; DFT formation energy = 3.050 eV/f.u.; energy above the lowest structure with this stoichiometry = 652 meV per atom
1.0
-3.3020 -2.8894 -3.5238
2.3784 -2.0608 -4.6653
-0.2834 0.0911 5.6196
Ba Ru Ni
1 1 2
direct
0.2471 0.7471 0.5000
0.5397 0.5397 0.0000
0.9599 0.9599 0.0000
0.7533 0.2533 0.5000

---

(4)
Nd3Ge4Au7 PBE optimized geometry; space group = No. 12; total moment = 0.00 μB per formula unit; DFT formation energy = -8.241 eV/f.u.
1.0
-1.7594 -1.4902 -3.8309
3.6808 -7.5672 -1.3561
-5.2976 -6.3835 2.3069
Au Ge Nd
7 4 3
direct
0.5079 0.7852 0.1991
0.6726 0.1835 0.4714
0.3274 0.8165 0.5286
0.4921 0.2148 0.8009
0.0000 0.0000 0.0000
0.8503 0.3869 0.9126
0.1497 0.6131 0.0874
0.3347 0.5458 0.7848
0.8729 0.9089 0.3454
0.1271 0.0911 0.6546
0.6653 0.4542 0.2152
0.6893 0.8107 0.8107
0.3107 0.1893 0.1893
0.0000 0.5000 0.5000

---

(5)
LaInFe2 PBE optimized geometry; space group = No. 99; total moment = 4.43 μB per formula unit; DFT formation energy = 0.257 eV/f.u.
1.0
3.2153 -0.0007 0.0000
0.0006 3.2153 0.0000
0.0000 0.0000 7.5873
Fe La In
2 1 1
direct
0.5000 0.5000 0.2057
0.0000 0.0000 0.0707
0.5000 0.5000 0.7865
0.0000 0.0000 0.4370

---

(6)
Ba2ZrAu PBE optimized geometry; space group = No. 38; total moment = 0.00 μB per formula unit; DFT formation energy = 0.053 eV/f.u.; energy above the lowest structure with this stoichiometry = 68 meV per atom
1.0
-0.6135 -3.6443 -1.8822
4.5011 -2.0530 2.5079
-1.4319 -2.9904 6.2566
Zr Au Ba
1 1 2
direct
0.0000 0.6819 0.5109
0.5000 0.5491 0.7772
0.5000 0.2822 0.3104
0.0000 0.9868 0.9015

---

(7)
SbAsI2N PBE optimized geometry; space group = No. 123; raw formation energy = 1.059 eV per atom; total moment = 0.00 μB per formula unit; energy above the lowest structure with this stoichiometry = 317 meV per atom
1.0
-1.8830 -4.2270 -1.4059
2.7173 0.1195 -3.9989
3.7125 -2.4684 2.4490
I N As Sb
2 1 1 1
direct
0.5000 0.0000 0.0000
0.0000 0.5000 0.0000
0.0000 0.0000 0.0000
0.5000 0.5000 0.5000
0.0000 0.0000 0.5000

---

(8)
MgCoAs2 PBE optimized geometry; space group = No. 6; total moment = 0.68 μB per formula unit; DFT formation energy = -0.084 eV/f.u.
1.0
4.0516 0.0000 0.0000
0.0000 2.9123 -0.2995
0.0000 0.6177 6.4228
As Co Mg
2 1 1
direct
0.0000 0.2539 0.8959
0.5000 0.2462 0.3521
0.0000 0.2484 0.5279
0.5000 0.7515 0.7241

---

(9)
Hf12FePb6 PBE optimized geometry; space group = No. 148; total moment = 0.00 μB per formula unit; DFT formation energy = 4.269 eV/f.u.
1.0
7.9714 -0.1410 -0.1689
-1.3478 7.8579 -0.1689
-1.3478 -1.5703 7.7013
Hf Pb Fe
12 6 1
direct
0.0598 0.0167 0.3083
0.6002 0.4901 0.7786
0.5099 0.2214 0.3998
0.7786 0.6002 0.4901
0.2214 0.3998 0.5099
0.4901 0.7786 0.6002
0.9402 0.9833 0.6917
0.0167 0.3083 0.0598
0.3998 0.5099 0.2214
0.9833 0.6917 0.9402
0.3083 0.0598 0.0167
0.6917 0.9402 0.9833
0.6665 0.3334 0.1013
0.8987 0.3335 0.6666
0.3334 0.1013 0.6665
0.6666 0.8987 0.3335
0.1013 0.6665 0.3334
0.3335 0.6666 0.8987
0.0000 0.0000 0.0000

---

(10)
Rb4PuCu3Br12 PBE optimized geometry; space group = No. 229; raw formation energy = -1.101 eV per atom; total moment = 3.78 μB per formula unit
1.0
9.3202 0.0000 0.0000
-3.1067 8.7871 0.0000
-3.1067 -4.3936 7.6099
Br Cu Rb Pu
12 3 4 1
direct
0.7500 0.2500 0.5000
0.7500 0.5000 0.2500
0.5000 0.7500 0.2500
0.5000 0.2500 0.7500
0.2500 0.5000 0.7500
0.0000 0.7432 0.7432
0.7432 0.7432 0.0000
0.7432 0.0000 0.7432
0.2500 0.7500 0.5000
0.0000 0.2568 0.2568
0.2568 0.2568 0.0000
0.2568 0.0000 0.2568
0.5000 0.5000 0.0000
0.0000 0.5000 0.5000
0.5000 0.0000 0.5000
0.0000 0.5000 0.0000
0.5000 0.0000 0.0000
0.0000 0.0000 0.5000
0.5000 0.5000 0.5000
0.0000 0.0000 0.0000

---

(11)
BiBPt3 PBE optimized geometry; space group = No. 12; total moment = 0.00 μB per formula unit; DFT formation energy = -1.076 eV/f.u.; energy above the lowest structure with this stoichiometry = 3 meV per atom
1.0
6.4368 0.0015 -0.0091
-1.4007 5.6601 0.0079
-1.3493 -3.2133 4.6747
Pt Bi B
6 2 2
direct
0.2545 0.9190 0.5210
0.2545 0.4191 0.0211
0.7423 0.1639 0.2641
0.7540 0.6698 0.2699
0.2662 0.9250 0.0269
0.7540 0.1699 0.7699
0.7875 0.6869 0.7864
0.2209 0.4021 0.5046
0.5043 0.2177 0.9723
0.5041 0.8712 0.3186

---

(12)
DyInGePt PBE optimized geometry; space group = No. 216; total moment = 0.00 μB per formula unit; DFT formation energy = -2.486 eV/f.u.
1.0
4.8893 0.0000 0.0000
2.4447 4.2343 0.0000
2.4447 1.4114 3.9921
In Dy Ge Pt
1 1 1 1
direct
0.5000 0.5000 0.5000
0.0000 0.0000 0.0000
0.2500 0.2500 0.2500
0.7500 0.7500 0.7500

---

(13)
PuCoBi2 PBE optimized geometry; space group = No. 166; total moment = 6.31 μB per formula unit; DFT formation energy = 1.260 eV/f.u.
1.0
3.4694 0.0000 0.0000
1.7347 3.0046 0.0000
1.7347 1.0015 10.1481
Pu Bi Co
1 2 1
direct
0.0000 0.0000 0.0000
0.8918 0.8918 0.3245
0.1082 0.1082 0.6755
0.5000 0.5000 0.5000

---

(14)
La2Er3Au2 PBE optimized geometry; space group = No. 12; total moment = 0.00 μB per formula unit; DFT formation energy = -3.589 eV/f.u.
1.0
3.6122 0.0000 1.0151
1.3104 6.2370 2.2714
-0.5091 -0.1917 8.7463
Au Er La
2 3 2
direct
0.1630 0.9120 0.7619
0.8370 0.0880 0.2381
0.6158 0.2147 0.5536
0.5000 0.0000 0.0000
0.3842 0.7853 0.4464
0.1530 0.5102 0.1838
0.8470 0.4898 0.8162

---

(15)
LiSc2TlTe4 PBE optimized geometry; space group = No. 63; raw formation energy = -0.987 eV per atom; total moment = 0.00 μB per formula unit
1.0
4.2724 0.0000 0.0000
-2.1362 7.1807 0.0000
0.0000 0.0000 15.2157
Te Sc Tl Li
8 4 2 2
direct
0.2674 0.5348 0.3977
0.0000 0.0000 0.0000
0.2674 0.5348 0.1023
0.7326 0.4652 0.6023
0.7326 0.4652 0.8977
0.4383 0.8765 0.7500
0.5617 0.1235 0.2500
0.0000 0.0000 0.5000
0.6311 0.2621 0.4341
0.3689 0.7379 0.5659
0.3689 0.7379 0.9341
0.6311 0.2621 0.0659
0.1172 0.2345 0.7500
0.8828 0.7655 0.2500
0.8297 0.6594 0.7500
0.1703 0.3406 0.2500

---

(16)
Zn3PAu PBE optimized geometry; space group = No. 221; total moment = 0.00 μB per formula unit; DFT formation energy = 2.761 eV/f.u.; energy above the lowest structure with this stoichiometry = 230 meV per atom
1.0
-3.2098 -2.8250 2.2822
1.1463 -3.6782 -2.9407
3.4459 -1.4077 3.1040
P Zn Au
1 3 1
direct
0.5000 0.5000 0.5000
0.5000 0.0000 0.0000
0.0000 0.5000 0.0000
0.0000 0.0000 0.5000
0.0000 0.0000 0.0000

---

(17)
CaAgW2 PBE optimized geometry; space group = No. 216; total moment = 0.00 μB per formula unit; DFT formation energy = 3.139 eV/f.u.; energy above the lowest structure with this stoichiometry = 302 meV per atom
1.0
4.7031 0.0000 0.0000
2.3516 4.0730 0.0000
2.3516 1.3577 3.8401
W Ag Ca
2 1 1
direct
0.2500 0.2500 0.2500
0.0000 0.0000 0.0000
0.5000 0.5000 0.5000
0.7500 0.7500 0.7500

---

(18)
LaTa2Rh PBE optimized geometry; space group = No. 12; total moment = 0.00 μB per formula unit; DFT formation energy = 0.379 eV/f.u.; energy above the lowest structure with this stoichiometry = 167 meV per atom
1.0
0.3036 -5.1177 -2.7292
1.8837 -5.4901 -0.2052
-3.8228 -2.7315 1.9902
La Ta Rh
1 2 1
direct
0.5000 0.5000 0.0000
0.7150 0.7150 0.2992
0.2850 0.2850 0.7008
0.0000 0.0000 0.5000

---

(19)
TiNiTe3 PBE optimized geometry; space group = No. 221; raw formation energy = 0.409 eV per atom; total moment = 0.00 μB per formula unit; energy above the lowest structure with this stoichiometry = 736 meV per atom
1.0
-3.6085 3.0843 1.5134
-2.4430 -0.7604 -4.2753
-2.4156 -3.8384 2.0631
Ti Te Ni
1 3 1
direct
0.5000 0.5000 0.5000
0.0000 0.0000 0.5000
0.0000 0.5000 0.0000
0.5000 0.0000 0.0000
0.0000 0.0000 0.0000

---

(20)
Nb3SbH3 PBE optimized geometry; space group = No. 223; total moment = 0.00 μB per formula unit; total energy = -90.89 eV/cell
1.0
5.5277 0.0000 0.0000
0.0000 5.5277 0.0000
0.0000 0.0000 5.5277
Sb Nb H
2 6 6
direct
0.5000 0.5000 0.5000
0.0000 0.0000 0.0000
0.0000 0.7500 0.5000
0.5000 0.0000 0.7500
0.0000 0.2500 0.5000
0.7500 0.5000 0.0000
0.2500 0.5000 0.0000
0.5000 0.0000 0.2500
0.0000 0.5000 0.2500
0.0000 0.5000 0.7500
0.7500 0.0000 0.5000
0.5000 0.2500 0.0000
0.2500 0.0000 0.5000
0.5000 0.7500 0.0000